Entry 1:
Density functional theory data (PBE-GGA) for a relaxed VCo2Au crystal.

Output
Total energy   -0.2314 hartree per atom
Energy relative to the elements   1.425 eV/f.u.
Volume   55.8 Å³/f.u.
ΔE to the lowest computed polymorph   354 meV/atom

abc: 6.493 6.493 5.299
angles: 52.22 52.22 90.00
Fractional coordinates of all 8 atoms:
Au1 0.000 0.000 0.000
Au2 0.750 0.250 0.500
Co1 0.584 0.125 0.250
Co2 0.166 0.625 0.250
Co3 0.375 0.416 0.750
Co4 0.875 0.834 0.750
V1 0.500 0.500 0.000
V2 0.250 0.750 0.500

Entry 2:
Density functional theory data (PBE-GGA) for a relaxed V2Co2Au crystal.

Output
Total energy   -0.2595 hartree per atom
Energy relative to the elements   0.425 eV/f.u.
Volume   67.0 Å³/f.u.
ΔE to the lowest computed polymorph   180 meV/atom

abc: 7.148 7.148 2.624
angles: 90.00 90.00 90.00
Fractional coordinates of all 10 atoms:
Au1 0.000 0.000 0.000
Au2 0.500 0.500 0.000
Co1 0.144 0.644 0.500
Co2 0.644 0.856 0.500
Co3 0.856 0.356 0.500
Co4 0.356 0.144 0.500
V1 0.356 0.856 0.000
V2 0.856 0.644 0.000
V3 0.644 0.144 0.000
V4 0.144 0.356 0.000

Entry 3:
Density functional theory data (PBE-GGA) for a relaxed VCo2Au crystal.

Output
Total energy   -0.2444 hartree per atom
Energy relative to the elements   0.011 eV/f.u.
Volume   52.1 Å³/f.u.
ΔE to the lowest computed polymorph   0 meV/atom

abc: 2.954 2.954 5.970
angles: 90.00 90.00 90.00
Fractional coordinates of all 4 atoms:
Co1 0.000 0.000 0.791
Co2 0.000 0.000 0.209
Au1 0.500 0.500 0.500
V1 0.500 0.500 0.000

Entry 4:
Density functional theory data (PBE-GGA) for a relaxed VCoAu3 crystal.

Output
Total energy   -0.1441 hartree per atom
Energy relative to the elements   6.447 eV/f.u.
Volume   114.4 Å³/f.u.
ΔE to the lowest computed polymorph   381 meV/atom

abc: 4.855 4.855 4.855
angles: 90.00 90.00 90.00
Each line ends with the local moment (μB).
Fractional coordinates of all 5 atoms:
Au1 0.000 0.500 0.000  0.02
Au2 0.000 0.000 0.500  0.02
Au3 0.500 0.000 0.000  0.02
Co1 0.500 0.500 0.500  2.17
V1 0.000 0.000 0.000  0.39

Entry 5:
Density functional theory data (PBE-GGA) for a relaxed VCoAu2 crystal.

Output
Total energy   -0.1885 hartree per atom
Energy relative to the elements   2.265 eV/f.u.
Volume   67.9 Å³/f.u.
ΔE to the lowest computed polymorph   379 meV/atom

abc: 7.145 7.145 5.709
angles: 51.27 51.27 90.00
Each line ends with the local moment (μB).
Fractional coordinates of all 8 atoms:
Au1 0.642 0.125 0.250  0.06
Au2 0.108 0.625 0.250  0.06
Au3 0.375 0.358 0.750  0.06
Au4 0.875 0.892 0.750  0.06
Co1 0.000 0.000 0.000  1.42
Co2 0.750 0.250 0.500  1.42
V1 0.500 0.500 0.000  1.93
V2 0.250 0.750 0.500  1.93

Entry 6:
Density functional theory data (PBE-GGA) for a relaxed VCo4Au crystal.

Output
Total energy   -0.2485 hartree per atom
Energy relative to the elements   0.252 eV/f.u.
Volume   75.2 Å³/f.u.

abc: 4.737 4.737 4.737
angles: 60.00 60.00 60.00
Each line ends with the local moment (μB).
Fractional coordinates of all 6 atoms:
Co1 0.625 0.625 0.125  1.47
Co2 0.625 0.125 0.625  1.47
Co3 0.625 0.625 0.625  1.47
Co4 0.125 0.625 0.625  1.47
Au1 0.000 0.000 0.000  0.01
V1 0.250 0.250 0.250  -1.45

Entry 7:
Density functional theory data (PBE-GGA) for a relaxed VCoAu3 crystal.

Output
Total energy   -0.1581 hartree per atom
Energy relative to the elements   4.544 eV/f.u.
Volume   106.2 Å³/f.u.
ΔE to the lowest computed polymorph   0 meV/atom

abc: 4.735 4.735 4.735
angles: 90.00 90.00 90.00
Each line ends with the local moment (μB).
Fractional coordinates of all 5 atoms:
Au1 0.000 0.500 0.000  0.07
Au2 0.000 0.000 0.500  0.07
Au3 0.500 0.000 0.000  0.07
Co1 0.000 0.000 0.000  1.84
V1 0.500 0.500 0.500  2.87

Entry 8:
Density functional theory data (PBE-GGA) for a relaxed V3CoAu crystal.

Output
Total energy   -0.2546 hartree per atom
Energy relative to the elements   3.095 eV/f.u.
Volume   79.7 Å³/f.u.
ΔE to the lowest computed polymorph   0 meV/atom

abc: 4.304 4.304 4.304
angles: 90.00 90.00 90.00
Fractional coordinates of all 5 atoms:
Au1 0.500 0.500 0.500
Co1 0.000 0.000 0.000
V1 0.000 0.500 0.000
V2 0.000 0.000 0.500
V3 0.500 0.000 0.000